Run w
Here is a geometry-optimized BaSiSb structure from Alexandria. Energies are from PBE.

CIF file:
```
data_BaSiSb
_chemical_formula_sum 'Ba1 Si1 Sb1'
_space_group_name_H-M_alt 'P 1'
_space_group_IT_number 1
_space_group_name_Hall 'P 1'
_cell_length_a 6.5513
_cell_length_b 6.4697
_cell_length_c 3.8721
_cell_angle_alpha 73.86
_cell_angle_beta 71.55
_cell_angle_gamma 34.59
loop_
_atom_site_label
_atom_site_type_symbol
_atom_site_fract_x
_atom_site_fract_y
_atom_site_fract_z
Ba1 Ba 0.0013 0.0013 0.9987
Sb1 Sb 0.2906 0.2906 0.7094
Si1 Si 0.7080 0.7080 0.2920
```

Summary:
* volume: 88 Å³ per cell
* space group: Fmm2 (42)
* M_tot: 0.0000 μB per atom

Run x
Here is a geometry-optimized BaSiSb structure from Alexandria. Energies are from PBE.

CIF file:
```
data_BaSiSb
_chemical_formula_sum 'Ba1 Si1 Sb1'
_space_group_name_H-M_alt 'P 1'
_space_group_IT_number 1
_space_group_name_Hall 'P 1'
_cell_length_a 5.4241
_cell_length_b 5.4241
_cell_length_c 5.4241
_cell_angle_alpha 60.00
_cell_angle_beta 60.00
_cell_angle_gamma 60.00
loop_
_atom_site_label
_atom_site_type_symbol
_atom_site_fract_x
_atom_site_fract_y
_atom_site_fract_z
Ba1 Ba 0.5000 0.5000 0.5000
Sb1 Sb 0.7500 0.7500 0.7500
Si1 Si 0.0000 0.0000 0.0000
```

Summary:
* volume: 113 Å³ per cell
* space group: F-43m (216)
* M_tot: 0.0000 μB per atom

Run y
Here is a geometry-optimized BaSiSb structure from Alexandria. Energies are from PBE.

CIF file:
```
data_BaSiSb
_chemical_formula_sum 'Ba2 Si2 Sb2'
_space_group_name_H-M_alt 'P 1'
_space_group_IT_number 1
_space_group_name_Hall 'P 1'
_cell_length_a 5.1464
_cell_length_b 5.1481
_cell_length_c 10.6772
_cell_angle_alpha 76.66
_cell_angle_beta 76.66
_cell_angle_gamma 46.45
loop_
_atom_site_label
_atom_site_type_symbol
_atom_site_fract_x
_atom_site_fract_y
_atom_site_fract_z
Ba1 Ba 0.4510 0.0725 0.7271
Ba2 Ba 0.5679 0.1891 0.3042
Si1 Si 0.8222 0.4437 0.5215
Si2 Si 0.1924 0.8139 0.5146
Sb1 Sb 0.3468 0.9668 0.0728
Sb2 Sb 0.0734 0.6930 0.9810
```

Summary:
* volume: 198 Å³ per cell
* space group: Cm (8)
* M_tot: 0.0000 μB per atom

Run z
Here is a geometry-optimized BaSiSb structure from Alexandria. Energies are from PBE.

CIF file:
```
data_BaSiSb
_chemical_formula_sum 'Ba1 Si1 Sb1'
_space_group_name_H-M_alt 'P 1'
_space_group_IT_number 1
_space_group_name_Hall 'P 1'
_cell_length_a 5.2576
_cell_length_b 5.2576
_cell_length_c 5.2576
_cell_angle_alpha 60.00
_cell_angle_beta 60.00
_cell_angle_gamma 60.00
loop_
_atom_site_label
_atom_site_type_symbol
_atom_site_fract_x
_atom_site_fract_y
_atom_site_fract_z
Ba1 Ba 0.0000 0.0000 0.0000
Sb1 Sb 0.5000 0.5000 0.5000
Si1 Si 0.7500 0.7500 0.7500
```

Summary:
* volume: 103 Å³ per cell
* space group: F-43m (216)
* M_tot: 0.0000 μB per atom

Which one sits at the top of the stability order? run y does.

Run w
Here is a geometry-optimized BaSiSb structure from Alexandria. Energies are from PBE.

CIF file:
```
data_BaSiSb
_chemical_formula_sum 'Ba1 Si1 Sb1'
_space_group_name_H-M_alt 'P 1'
_space_group_IT_number 1
_space_group_name_Hall 'P 1'
_cell_length_a 4.8238
_cell_length_b 4.8238
_cell_length_c 4.8603
_cell_angle_alpha 90.00
_cell_angle_beta 90.00
_cell_angle_gamma 120.00
loop_
_atom_site_label
_atom_site_type_symbol
_atom_site_fract_x
_atom_site_fract_y
_atom_site_fract_z
Ba1 Ba 0.0000 0.0000 0.0000
Sb1 Sb 0.6667 0.3333 0.5000
Si1 Si 0.3333 0.6667 0.5000
```

Summary:
* volume: 98 Å³ per cell
* space group: P-6m2 (187)
* M_tot: 0.0000 μB per atom

Run x
Here is a geometry-optimized BaSiSb structure from Alexandria. Energies are from PBE.

CIF file:
```
data_BaSiSb
_chemical_formula_sum 'Ba1 Si1 Sb1'
_space_group_name_H-M_alt 'P 1'
_space_group_IT_number 1
_space_group_name_Hall 'P 1'
_cell_length_a 5.4220
_cell_length_b 5.4220
_cell_length_c 5.4220
_cell_angle_alpha 60.00
_cell_angle_beta 60.00
_cell_angle_gamma 60.00
loop_
_atom_site_label
_atom_site_type_symbol
_atom_site_fract_x
_atom_site_fract_y
_atom_site_fract_z
Ba1 Ba 0.7500 0.7500 0.7500
Sb1 Sb 0.0000 0.0000 0.0000
Si1 Si 0.5000 0.5000 0.5000
```

Summary:
* volume: 113 Å³ per cell
* space group: F-43m (216)
* M_tot: 0.0003 μB per atom

Which one sits at the top of the stability order? run w does.

Run w
Here is a geometry-optimized BaSi3Sb structure from Alexandria. Energies are from PBE.

CIF file:
```
data_BaSi3Sb
_chemical_formula_sum 'Ba1 Si3 Sb1'
_space_group_name_H-M_alt 'P 1'
_space_group_IT_number 1
_space_group_name_Hall 'P 1'
_cell_length_a 5.3125
_cell_length_b 5.3125
_cell_length_c 5.3125
_cell_angle_alpha 90.00
_cell_angle_beta 90.00
_cell_angle_gamma 90.00
loop_
_atom_site_label
_atom_site_type_symbol
_atom_site_fract_x
_atom_site_fract_y
_atom_site_fract_z
Sb1 Sb 0.0000 0.0000 0.0000
Si1 Si 0.0000 0.5000 0.0000
Si2 Si 0.0000 0.0000 0.5000
Si3 Si 0.5000 0.0000 0.0000
Ba1 Ba 0.5000 0.5000 0.5000
```

Summary:
* volume: 150 Å³ per cell
* space group: Pm-3m (221)
* M_tot: 0.0000 μB per atom

Run x
Here is a geometry-optimized BaSi3Sb structure from Alexandria. Energies are from PBE.

CIF file:
```
data_BaSi3Sb
_chemical_formula_sum 'Ba1 Si3 Sb1'
_space_group_name_H-M_alt 'P 1'
_space_group_IT_number 1
_space_group_name_Hall 'P 1'
_cell_length_a 5.5852
_cell_length_b 5.5852
_cell_length_c 5.5852
_cell_angle_alpha 90.00
_cell_angle_beta 90.00
_cell_angle_gamma 90.00
loop_
_atom_site_label
_atom_site_type_symbol
_atom_site_fract_x
_atom_site_fract_y
_atom_site_fract_z
Sb1 Sb 0.5000 0.5000 0.5000
Si1 Si 0.0000 0.5000 0.0000
Si2 Si 0.0000 0.0000 0.5000
Si3 Si 0.5000 0.0000 0.0000
Ba1 Ba 0.0000 0.0000 0.0000
```

Summary:
* volume: 174 Å³ per cell
* space group: Pm-3m (221)
* M_tot: 0.0000 μB per atom

Which one sits at the top of the stability order? run w does.

Run w
Here is a geometry-optimized Ba3SiSb structure from Alexandria. Energies are from PBE.

CIF file:
```
data_Ba3SiSb
_chemical_formula_sum 'Ba3 Si1 Sb1'
_space_group_name_H-M_alt 'P 1'
_space_group_IT_number 1
_space_group_name_Hall 'P 1'
_cell_length_a 6.1762
_cell_length_b 6.1762
_cell_length_c 6.1762
_cell_angle_alpha 90.00
_cell_angle_beta 90.00
_cell_angle_gamma 90.00
loop_
_atom_site_label
_atom_site_type_symbol
_atom_site_fract_x
_atom_site_fract_y
_atom_site_fract_z
Sb1 Sb 0.5000 0.5000 0.5000
Si1 Si 0.0000 0.0000 0.0000
Ba1 Ba 0.0000 0.5000 0.0000
Ba2 Ba 0.0000 0.0000 0.5000
Ba3 Ba 0.5000 0.0000 0.0000
```

Summary:
* volume: 236 Å³ per cell
* space group: Pm-3m (221)
* M_tot: 0.0000 μB per atom

Run x
Here is a geometry-optimized Ba3SiSb structure from Alexandria. Energies are from PBE.

CIF file:
```
data_Ba3SiSb
_chemical_formula_sum 'Ba6 Si2 Sb2'
_space_group_name_H-M_alt 'P 1'
_space_group_IT_number 1
_space_group_name_Hall 'P 1'
_cell_length_a 4.5014
_cell_length_b 7.2000
_cell_length_c 12.9691
_cell_angle_alpha 96.47
_cell_angle_beta 99.99
_cell_angle_gamma 90.00
loop_
_atom_site_label
_atom_site_type_symbol
_atom_site_fract_x
_atom_site_fract_y
_atom_site_fract_z
Ba1 Ba 0.0005 0.2702 0.0009
Ba2 Ba 0.9995 0.7298 0.9991
Ba3 Ba 0.3625 0.9425 0.7251
Ba4 Ba 0.6375 0.0575 0.2749
Ba5 Ba 0.1890 0.6128 0.3781
Ba6 Ba 0.8110 0.3872 0.6219
Si1 Si 0.7621 0.9202 0.5242
Si2 Si 0.2379 0.0798 0.4758
Sb1 Sb 0.5877 0.5374 0.1755
Sb2 Sb 0.4123 0.4626 0.8245
```

Summary:
* volume: 411 Å³ per cell
* space group: C2/m (12)
* M_tot: 0.1671 μB per atom

Which one sits at the top of the stability order? run x does.

Run w
Here is a geometry-optimized BaSiSb2Te structure from Alexandria. Energies are from PBE.

CIF file:
```
data_BaSiSb2Te
_chemical_formula_sum 'Ba1 Si1 Sb2 Te1'
_space_group_name_H-M_alt 'P 1'
_space_group_IT_number 1
_space_group_name_Hall 'P 1'
_cell_length_a 5.3583
_cell_length_b 5.3583
_cell_length_c 5.5870
_cell_angle_alpha 90.00
_cell_angle_beta 90.00
_cell_angle_gamma 90.00
loop_
_atom_site_label
_atom_site_type_symbol
_atom_site_fract_x
_atom_site_fract_y
_atom_site_fract_z
Sb1 Sb 0.0000 0.5000 0.0000
Sb2 Sb 0.5000 0.0000 0.0000
Si1 Si 0.0000 0.0000 0.0000
Te1 Te 0.0000 0.0000 0.5000
Ba1 Ba 0.5000 0.5000 0.5000
```

Summary:
* volume: 160 Å³ per cell
* space group: P4/mmm (123)
* M_tot: 0.0000 μB per atom

Run x
Here is a geometry-optimized BaSiSb2Te structure from Alexandria. Energies are from PBE.

CIF file:
```
data_BaSiSb2Te
_chemical_formula_sum 'Ba1 Si1 Sb2 Te1'
_space_group_name_H-M_alt 'P 1'
_space_group_IT_number 1
_space_group_name_Hall 'P 1'
_cell_length_a 6.2628
_cell_length_b 6.2628
_cell_length_c 6.3185
_cell_angle_alpha 90.00
_cell_angle_beta 90.00
_cell_angle_gamma 90.00
loop_
_atom_site_label
_atom_site_type_symbol
_atom_site_fract_x
_atom_site_fract_y
_atom_site_fract_z
Sb1 Sb 0.0000 0.5000 0.0000
Sb2 Sb 0.5000 0.0000 0.0000
Si1 Si 0.5000 0.5000 0.5000
Te1 Te 0.0000 0.0000 0.5000
Ba1 Ba 0.0000 0.0000 0.0000
```

Summary:
* volume: 248 Å³ per cell
* space group: P4/mmm (123)
* M_tot: 0.0512 μB per atom

Which one sits at the top of the stability order? run w does.